This record from Alexandria describes YTc2Rh after structural relaxation. The functional is PBE.

Structure (POSCAR):
```
YTc2Rh
1.0
4.333 0.000 0.000
0.000 2.978 -0.001
0.000 1.090 5.430
Tc Y Rh
2 1 1
direct
0.500 0.221 0.173 Tc
0.000 0.891 0.044 Tc
0.000 0.486 0.539 Y
0.500 0.903 0.744 Rh
```

Computed properties:
DFT formation energy = 0.04 eV/atom
Theoretical density = 9.19 g/cm³
Space group = Pm, No. 6
Excess energy over the best structure of this formula in the dataset = 0.081 eV/atom
Calculated volume = 70.07 Å³ per cell
DOS at the Fermi energy = 5.5 states/eV/cell


This record from Alexandria describes Hf2TePbO8 after structural relaxation. The functional is PBE.

Structure (POSCAR):
```
Hf2TePbO8
1.0
-0.908 -4.640 1.377
4.738 -1.263 -0.437
1.055 1.716 6.476
O Pb Hf Te
8 1 2 1
direct
0.715 0.716 0.000 O
0.202 0.797 0.798 O
0.798 0.203 0.798 O
0.285 0.284 0.000 O
0.798 0.203 0.202 O
0.668 0.669 0.500 O
0.332 0.331 0.500 O
0.202 0.797 0.202 O
0.000 0.000 0.500 Pb
0.500 0.500 0.254 Hf
0.500 0.500 0.746 Hf
0.000 0.000 0.000 Te
```

Computed properties:
Theoretical density = 8.29 g/cm³
Space group = Cmmm, No. 65
Calculated volume = 164.28 Å³ per cell
DOS at the Fermi energy = 0.2 states/eV/cell
Raw formation energy = -2.165 eV/atom


This record from Alexandria describes SrTi3Pd after structural relaxation. The functional is PBE.

Structure (POSCAR):
```
SrTi3Pd
1.0
4.674 0.000 0.000
0.000 4.674 0.000
0.000 0.000 4.674
Ti Sr Pd
3 1 1
direct
0.500 0.000 0.000 Ti
0.000 0.000 0.500 Ti
0.000 0.500 0.000 Ti
0.000 0.000 0.000 Sr
0.500 0.500 0.500 Pd
```

Computed properties:
DFT formation energy = 1.84 eV/atom
Theoretical density = 5.49 g/cm³
Space group = Pm-3m, No. 221
Excess energy over the best structure of this formula in the dataset = 1.369 eV/atom
Calculated volume = 102.12 Å³ per cell
DOS at the Fermi energy = 7.6 states/eV/cell


This record from Alexandria describes Hf2FeTc2 after structural relaxation. The functional is PBE.

Structure (POSCAR):
```
Hf2FeTc2
1.0
6.494 0.000 0.000
0.000 6.494 0.000
0.000 0.000 4.164
Hf Fe Tc
4 2 4
direct
0.323 0.177 0.500 Hf
0.177 0.677 0.500 Hf
0.677 0.823 0.500 Hf
0.823 0.323 0.500 Hf
0.500 0.500 0.000 Fe
0.000 0.000 0.000 Fe
0.637 0.137 0.000 Tc
0.363 0.863 0.000 Tc
0.137 0.363 0.000 Tc
0.863 0.637 0.000 Tc
```

Computed properties:
DFT formation energy = -0.04 eV/atom
Theoretical density = 11.51 g/cm³
Space group = P4/mbm, No. 127
Calculated volume = 175.61 Å³ per cell
DOS at the Fermi energy = 10.1 states/eV/cell